Computed, not measured: a relaxed Pr8Ga3SiI4 crystal at the PBE level of DFT.

```
data_Pr8Ga3SiI4
_space_group_name_H-M_alt 'R -3 m'
_space_group_IT_number 166
_space_group_name_Hall '-R 3 2"'
_cell_length_a 8.8143
_cell_length_b 8.8143
_cell_length_c 22.9715
_cell_angle_alpha 90.00
_cell_angle_beta 90.00
_cell_angle_gamma 120.00
loop_
_atom_site_label
_atom_site_type_symbol
_atom_site_fract_x
_atom_site_fract_y
_atom_site_fract_z
_atom_site_occupancy
Pr1 Pr 0.0000 0.0000 0.2375 1
Pr2 Pr 0.0033 0.5017 0.2358 1
Ga1 Ga 0.0000 0.5000 0.5000 1
Si1 Si 0.0000 0.0000 0.5000 1
I1 I 0.0000 0.0000 0.0000 1
I2 I 0.0000 0.5000 0.0000 1
```

Calculated values
The value obtained for the calculated volume is 32.2 A^3/atom. The formation energy (no corrections) comes out at -18.88 kcal/mol of atoms. The crystal system is trigonal.

***

Computed, not measured: a relaxed LaY2Tl crystal at the PBE level of DFT.

```
data_LaY2Tl
_space_group_name_H-M_alt 'C 1 2/m 1'
_space_group_IT_number 12
_space_group_name_Hall '-C 2y'
_cell_length_a 6.8931
_cell_length_b 11.2808
_cell_length_c 3.5040
_cell_angle_alpha 90.00
_cell_angle_beta 113.82
_cell_angle_gamma 90.00
loop_
_atom_site_label
_atom_site_type_symbol
_atom_site_fract_x
_atom_site_fract_y
_atom_site_fract_z
_atom_site_occupancy
La1 La 0.0000 0.0000 0.0000 1
Y1 Y 0.2500 0.2500 0.5000 1
Tl1 Tl 0.0000 0.5000 0.0000 1
```

Calculated values
The value obtained for the calculated volume is 31.2 A^3/atom. For the formation energy, the calculation gives -6 kJ per mole of atoms. The crystal system is monoclinic.

***

Computed, not measured: a relaxed Sr3Sn5Pd6 crystal at the PBE level of DFT.

```
data_Sr3Sn5Pd6
_space_group_name_H-M_alt 'P m m n'
_space_group_IT_number 59
_cell_length_a 4.6115
_cell_length_b 13.9779
_cell_length_c 10.0893
_cell_angle_alpha 90.00
_cell_angle_beta 90.00
_cell_angle_gamma 90.00
loop_
_space_group_symop_operation_xyz
'x,y,z'
'-x,-y,-z'
'-x+1/2,-y+1/2,z'
'x+1/2,y+1/2,-z'
'x+1/2,-y,-z'
'-x+1/2,y,z'
'-x,y+1/2,-z'
'x,-y+1/2,z'
loop_
_atom_site_label
_atom_site_type_symbol
_atom_site_fract_x
_atom_site_fract_y
_atom_site_fract_z
_atom_site_occupancy
Sr1 Sr 0.2500 0.0747 0.2487 1
Sr2 Sr 0.2500 0.7500 0.2346 1
Sn1 Sn 0.2500 0.0848 0.8671 1
Sn2 Sn 0.2500 0.6329 0.5208 1
Sn3 Sn 0.2500 0.7500 0.8419 1
Pd1 Pd 0.2500 0.0557 0.5962 1
Pd2 Pd 0.2500 0.2500 0.0117 1
Pd3 Pd 0.2500 0.2500 0.5070 1
Pd4 Pd 0.2500 0.5874 0.9958 1
```

Calculated values
The value obtained for the calculated volume is 23.2 A^3/atom. For the formation energy, the calculation gives -66 kJ per mole of atoms. The crystal system is orthorhombic.

***

Computed, not measured: a relaxed HoBeAl crystal at the PBE level of DFT.

```
data_HoBeAl
_space_group_name_H-M_alt 'I 4 m m'
_space_group_IT_number 107
_space_group_name_Hall 'I 4 -2'
_cell_length_a 3.1160
_cell_length_b 3.1160
_cell_length_c 10.9804
_cell_angle_alpha 90.00
_cell_angle_beta 90.00
_cell_angle_gamma 90.00
loop_
_atom_site_label
_atom_site_type_symbol
_atom_site_fract_x
_atom_site_fract_y
_atom_site_fract_z
_atom_site_occupancy
Ho1 Ho 0.0000 0.0000 0.0000 1
Be1 Be 0.0000 0.0000 0.3208 1
Al1 Al 0.0000 0.0000 0.7064 1
```

Calculated values
The value obtained for the calculated volume is 17.8 A^3/atom. For the formation energy, the calculation gives -2 kJ per mole of atoms. The crystal system is tetragonal.

***

Computed, not measured: a relaxed IrOs3Ru crystal at the PBE level of DFT.

```
data_IrOs3Ru
_space_group_name_H-M_alt 'P 1 21/c 1'
_space_group_IT_number 14
_space_group_name_Hall '-P 2ybc'
_cell_length_a 7.0055
_cell_length_b 4.7638
_cell_length_c 9.3297
_cell_angle_alpha 90.00
_cell_angle_beta 113.88
_cell_angle_gamma 90.00
loop_
_atom_site_label
_atom_site_type_symbol
_atom_site_fract_x
_atom_site_fract_y
_atom_site_fract_z
_atom_site_occupancy
Ir1 Ir 0.2501 0.1656 0.0006 1
Os1 Os 0.0506 0.1681 0.2003 1
Os2 Os 0.3501 0.6662 0.8985 1
Os3 Os 0.4498 0.1680 0.7996 1
Ru1 Ru 0.1506 0.6661 0.1019 1
```

Calculated values
The value obtained for the calculated volume is 14.2 A^3/atom. For the formation energy, the calculation gives -2 kJ per mole of atoms. The crystal system is monoclinic.

***

Computed, not measured: a relaxed K2TaAlSn crystal at the PBE level of DFT.

```
data_K2TaAlSn
_space_group_name_H-M_alt 'P 4/m m m'
_space_group_IT_number 123
_space_group_name_Hall '-P 4 2'
_cell_length_a 6.4986
_cell_length_b 6.4986
_cell_length_c 5.3906
_cell_angle_alpha 90.00
_cell_angle_beta 90.00
_cell_angle_gamma 90.00
loop_
_atom_site_label
_atom_site_type_symbol
_atom_site_fract_x
_atom_site_fract_y
_atom_site_fract_z
_atom_site_occupancy
K1 K 0.0000 0.5000 0.0000 1
Ta1 Ta 0.0000 0.0000 0.5000 1
Al1 Al 0.5000 0.5000 0.5000 1
Sn1 Sn 0.0000 0.0000 0.0000 1
```

Calculated values
The value obtained for the calculated volume is 45.5 A^3/atom. For the formation energy, the calculation gives 119 kJ per mole of atoms. The crystal system is tetragonal.

***

| no. | raw total energy (eV per atom) |
| --- | --- |
| 1 | -4.5024 |
| 2 | -5.1205 |
| 3 | -4.6966 |
| 4 | -4.0356 |
| 5 | -10.3808 |
| 6 | -3.1257 |